Compound: AgSb
Source: the Alexandria database
Functional: PBE
Structure: relaxed

Theoretical density, g/cm³: 8.2
Energy, eV/cell: -6.69
D(E_F), states/eV per cell: 0.9
ΔE to the lowest computed polymorph, kJ per mole of atoms: 5.9
Total magnetization, μB/atom: 0.000

Unit cell a=3.4371 b=3.4371 c=4.6255 alpha=108.19 beta=108.19 gamma=66.87
Fractional coordinates of all 2 atoms:
Ag 0.0000 0.0000 0.0000
Sb 0.5000 0.5000 0.5000